Computed, not measured: EuZrIr2 after structural relaxation at the PBE-GGA level of DFT.

Results
The energy relative to the lowest polymorph listed for this composition is 157.6 meV/atom. The total magnetization comes out at 6.61 μB/f.u. Its formation energy is -0.440 eV/atom.

a b c (Å): 6.7826 6.7826 6.7826
angles (deg): 90.00 90.00 90.00
Space group Fm-3m (No. 225)
Unique sites:
Eu 0.0000 0.0000 0.0000 (multiplicity 4)
Zr 0.0000 0.0000 0.5000 (multiplicity 4)
Ir 0.2500 0.2500 0.2500 (multiplicity 8)

Computed, not measured: LaTlP2S6 after structural relaxation at the PBE-GGA level of DFT.

Results
The formation energy without anion corrections is -0.848 eV/atom. The total magnetization comes out at 0.00 μB/f.u.

a b c (Å): 12.2961 7.6444 11.4640
angles (deg): 90.00 109.21 90.00
Space group P2_1/c (No. 14)
Unique sites:
La 0.1465 0.1066 0.4020 (multiplicity 4)
Tl 0.3709 0.5992 0.6277 (multiplicity 4)
P 0.1677 0.5980 0.2454 (multiplicity 4)
P 0.2847 0.1202 0.7306 (multiplicity 4)
S 0.0525 0.0205 0.8149 (multiplicity 4)
S 0.0879 0.6831 0.0691 (multiplicity 4)
S 0.1718 0.1924 0.1365 (multiplicity 4)
S 0.2695 0.7174 0.8560 (multiplicity 4)
S 0.3637 0.2045 0.9053 (multiplicity 4)
S 0.3764 0.0259 0.6279 (multiplicity 4)

Computed, not measured: Rb12Bi3H5 after structural relaxation at the PBE-GGA level of DFT.

Results
Its total DFT energy (no corrections) is -0.160 Ry per atom. The total magnetization comes out at 2.20 μB/f.u.

a b c (Å): 19.3089 19.3089 19.3089
angles (deg): 90.00 90.00 90.00
Space group Ia-3d (No. 230)
Unique sites:
Rb 0.0306 0.0539 0.6509 (multiplicity 96)
Bi 0.0000 0.2500 0.1250 (multiplicity 24)
H 0.0000 0.0000 0.0000 (multiplicity 16)
H 0.0000 0.2500 0.3750 (multiplicity 24)

Computed, not measured: Ba2Sr2Au3 after structural relaxation at the PBE-GGA level of DFT.

Results
The total magnetization comes out at 0.00 μB/f.u. Its formation energy is -0.653 eV/atom.

a b c (Å): 9.9544 9.9544 9.9544
angles (deg): 90.00 90.00 90.00
Space group I2_13 (No. 199)
Unique sites:
Ba 0.0643 0.4357 0.5643 (multiplicity 8)
Sr 0.1855 0.1855 0.1855 (multiplicity 8)
Au 0.0000 0.2500 0.8863 (multiplicity 12)

Computed, not measured: Ag2Pd4S after structural relaxation at the PBE-GGA level of DFT.

Results
The formation energy without anion corrections is 0.144 eV/atom. The total magnetization comes out at 0.00 μB/f.u.

a b c (Å): 4.4542 4.4542 13.4927
angles (deg): 90.00 90.00 90.00
Space group I4/mmm (No. 139)
Unique sites:
Ag 0.0000 0.0000 0.1331 (multiplicity 4)
Pd 0.0000 0.0000 0.3329 (multiplicity 4)
Pd 0.0000 0.5000 0.0000 (multiplicity 4)
S 0.0000 0.0000 0.5000 (multiplicity 2)

Computed, not measured: Pm2SmErS6 after structural relaxation at the PBE-GGA level of DFT.

Results
The formation energy without anion corrections is -2.034 eV/atom. The total magnetization comes out at 0.00 μB/f.u.

a b c (Å): 7.0555 7.0555 18.6897
angles (deg): 90.00 90.00 120.00
Space group R3 (No. 146, hexagonal axes)
Unique sites:
Pm 0.0000 0.0000 0.0000 (multiplicity 3)
Pm 0.0000 0.0000 0.4978 (multiplicity 3)
Sm 0.0000 0.0000 0.2052 (multiplicity 3)
Er 0.0000 0.0000 0.7021 (multiplicity 3)
S 0.0401 0.3566 0.7702 (multiplicity 9)
S 0.0428 0.6729 0.2713 (multiplicity 9)

Computed, not measured: SrY2TlPb after structural relaxation at the PBE-GGA level of DFT.

Results
The total magnetization comes out at 0.00 μB/f.u. Its formation energy is 0.247 eV/atom.

a b c (Å): 5.7765 5.7765 6.1469
angles (deg): 90.00 90.00 90.00
Space group P4/mmm (No. 123)
Unique sites:
Sr 0.0000 0.0000 0.0000 (multiplicity 1)
Y 0.0000 0.5000 0.5000 (multiplicity 2)
Tl 0.5000 0.5000 0.5000 (multiplicity 1)
Pb 0.5000 0.5000 0.0000 (multiplicity 1)

Computed, not measured: CoOs5 after structural relaxation at the PBE-GGA level of DFT.

Results
The energy relative to the lowest polymorph listed for this composition is 106.6 meV/atom. The total magnetization comes out at 0.00 μB/f.u. Its formation energy is 0.164 eV/atom.

a b c (Å): 3.8209 11.3525 3.8137
angles (deg): 90.00 90.00 90.00
Space group Cmmm (No. 65)
Unique sites:
Co 0.0000 0.0000 0.0000 (multiplicity 2)
Os 0.0000 0.1641 0.5000 (multiplicity 4)
Os 0.0000 0.3330 0.0000 (multiplicity 4)
Os 0.0000 0.5000 0.5000 (multiplicity 2)

Computed, not measured: TbHgRh after structural relaxation at the PBE-GGA level of DFT.

Results
The total magnetization comes out at 0.00 μB/f.u. Its formation energy is -0.516 eV/atom.

a b c (Å): 3.6285 3.6285 9.5513
angles (deg): 90.00 90.00 90.00
Space group I4mm (No. 107)
Unique sites:
Tb 0.0000 0.0000 0.0000 (multiplicity 2)
Hg 0.0000 0.0000 0.6863 (multiplicity 2)
Rh 0.0000 0.0000 0.3548 (multiplicity 2)

Computed, not measured: SnAsOsAuCl after structural relaxation at the PBE-GGA level of DFT.

Results
The energy relative to the lowest polymorph listed for this composition is 27.5 meV/atom. The formation energy without anion corrections is 0.062 eV/atom. The total magnetization comes out at 0.00 μB/f.u.

a b c (Å): 3.2152 4.1764 8.5520
angles (deg): 90.22 100.75 90.00
Space group P1 (No. 1)
Unique sites:
Sn 0.0000 0.0000 0.0000 (multiplicity 1)
As 0.1782 0.5025 0.3593 (multiplicity 1)
Os 0.5633 0.5008 0.1276 (multiplicity 1)
Au 0.6813 0.0028 0.3669 (multiplicity 1)
Cl 0.8580 0.9934 0.7083 (multiplicity 1)

Computed, not measured: AlHPd3 after structural relaxation at the PBE-GGA level of DFT.

Results
The energy relative to the lowest polymorph listed for this composition is 61.2 meV/atom. The total magnetization comes out at 0.00 μB/f.u.

a b c (Å): 4.7952 5.5826 5.6078
angles (deg): 60.51 76.19 75.62
Space group P1 (No. 1)
Unique sites:
Al 0.0000 0.0000 0.0000 (multiplicity 1)
Al 0.4499 0.2611 0.2503 (multiplicity 1)
H 0.2470 0.6369 0.6303 (multiplicity 1)
H 0.7925 0.3790 0.3676 (multiplicity 1)
Pd 0.0408 0.4804 0.4814 (multiplicity 1)
Pd 0.4251 0.7929 0.7801 (multiplicity 1)
Pd 0.5111 0.7828 0.2643 (multiplicity 1)
Pd 0.5158 0.2698 0.7801 (multiplicity 1)
Pd 0.9427 0.9980 0.4809 (multiplicity 1)
Pd 0.9471 0.4905 0.9911 (multiplicity 1)

Computed, not measured: ZrZn2Pt after structural relaxation at the PBE-GGA level of DFT.

Results
The total magnetization comes out at 0.00 μB/f.u. Its formation energy is -0.372 eV/atom.

a b c (Å): 3.3236 4.6135 9.0446
angles (deg): 90.00 90.00 90.00
Space group Immm (No. 71)
Unique sites:
Zr 0.0000 0.0000 0.0000 (multiplicity 2)
Zn 0.0000 0.5000 0.2327 (multiplicity 4)
Pt 0.0000 0.0000 0.5000 (multiplicity 2)

- What is the formula in the third record?
  Rb12Bi3H5

- Among the records above, which one has the highest total magnetization?
  EuZrIr2

Please write out number 11 again, unchanged.
Computed, not measured: AlHPd3 after structural relaxation at the PBE-GGA level of DFT.

Results
The energy relative to the lowest polymorph listed for this composition is 61.2 meV/atom. The total magnetization comes out at 0.00 μB/f.u.

a b c (Å): 4.7952 5.5826 5.6078
angles (deg): 60.51 76.19 75.62
Space group P1 (No. 1)
Unique sites:
Al 0.0000 0.0000 0.0000 (multiplicity 1)
Al 0.4499 0.2611 0.2503 (multiplicity 1)
H 0.2470 0.6369 0.6303 (multiplicity 1)
H 0.7925 0.3790 0.3676 (multiplicity 1)
Pd 0.0408 0.4804 0.4814 (multiplicity 1)
Pd 0.4251 0.7929 0.7801 (multiplicity 1)
Pd 0.5111 0.7828 0.2643 (multiplicity 1)
Pd 0.5158 0.2698 0.7801 (multiplicity 1)
Pd 0.9427 0.9980 0.4809 (multiplicity 1)
Pd 0.9471 0.4905 0.9911 (multiplicity 1)

- Which of these has the highest total magnetization?
  EuZrIr2